## Zr5In3Pd12 (PBE)

Data for Zr5In3Pd12 after structural relaxation.

Lattice parameters (Å, degrees): 13.287 13.287 13.287 109.47 109.47 109.47
Element x y z (fractional)
Zr: 0.000 0.000 0.000
Zr: 0.000 0.000 0.500
Zr: 0.000 0.500 0.000
Zr: 0.000 0.500 0.500
Zr: 0.125 0.750 0.875
Zr: 0.125 0.875 0.250
Zr: 0.250 0.125 0.875
Zr: 0.250 0.625 0.375
Zr: 0.375 0.250 0.625
Zr: 0.375 0.625 0.750
Zr: 0.500 0.000 0.000
Zr: 0.500 0.000 0.500
Zr: 0.500 0.500 0.000
Zr: 0.500 0.500 0.500
Zr: 0.625 0.375 0.250
Zr: 0.625 0.750 0.375
Zr: 0.750 0.375 0.625
Zr: 0.750 0.875 0.125
Zr: 0.875 0.125 0.750
Zr: 0.875 0.250 0.125
In: 0.125 0.250 0.375
In: 0.125 0.375 0.750
In: 0.250 0.375 0.125
In: 0.250 0.875 0.625
In: 0.375 0.125 0.250
In: 0.375 0.750 0.125
In: 0.625 0.250 0.875
In: 0.625 0.875 0.750
In: 0.750 0.125 0.375
In: 0.750 0.625 0.875
In: 0.875 0.625 0.250
In: 0.875 0.750 0.625
Pd: 0.067 0.232 0.139
Pd: 0.067 0.335 0.929
Pd: 0.071 0.639 0.407
Pd: 0.071 0.933 0.665
Pd: 0.093 0.732 0.665
Pd: 0.093 0.861 0.429
Pd: 0.139 0.067 0.232
Pd: 0.139 0.571 0.907
Pd: 0.165 0.232 0.593
Pd: 0.165 0.433 0.571
Pd: 0.232 0.139 0.067
Pd: 0.232 0.593 0.165
Pd: 0.268 0.335 0.907
Pd: 0.268 0.433 0.361
Pd: 0.335 0.907 0.268
Pd: 0.335 0.929 0.067
Pd: 0.361 0.268 0.433
Pd: 0.361 0.593 0.929
Pd: 0.407 0.071 0.639
Pd: 0.407 0.835 0.768
Pd: 0.429 0.093 0.861
Pd: 0.429 0.835 0.567
Pd: 0.433 0.361 0.268
Pd: 0.433 0.571 0.165
Pd: 0.567 0.429 0.835
Pd: 0.567 0.639 0.732
Pd: 0.571 0.165 0.433
Pd: 0.571 0.907 0.139
Pd: 0.593 0.165 0.232
Pd: 0.593 0.929 0.361
Pd: 0.639 0.407 0.071
Pd: 0.639 0.732 0.567
Pd: 0.665 0.071 0.933
Pd: 0.665 0.093 0.732
Pd: 0.732 0.567 0.639
Pd: 0.732 0.665 0.093
Pd: 0.768 0.407 0.835
Pd: 0.768 0.861 0.933
Pd: 0.835 0.567 0.429
Pd: 0.835 0.768 0.407
Pd: 0.861 0.429 0.093
Pd: 0.861 0.933 0.768
Pd: 0.907 0.139 0.571
Pd: 0.907 0.268 0.335
Pd: 0.929 0.067 0.335
Pd: 0.929 0.361 0.593
Pd: 0.933 0.665 0.071
Pd: 0.933 0.768 0.861

Computed properties:
Calculated formation energy in eV per atom: -0.031
Density in g/cm3: 7.6


## Zr3InPd4 (PBE)

Data for Zr3InPd4 after structural relaxation.

Lattice parameters (Å, degrees): 4.949 4.949 6.090 90.00 90.00 90.00
Element x y z (fractional)
Zr: 0.000 0.000 0.000
Zr: 0.000 0.000 0.500
Zr: 0.500 0.500 0.000
In: 0.500 0.500 0.500
Pd: 0.000 0.500 0.241
Pd: 0.000 0.500 0.759
Pd: 0.500 0.000 0.241
Pd: 0.500 0.000 0.759

Computed properties:
Calculated formation energy in eV per atom: -0.604
Density in g/cm3: 9.1


## ZrIn3Pd4 (PBE)

Data for ZrIn3Pd4 after structural relaxation.

Lattice parameters (Å, degrees): 4.692 4.692 6.601 90.00 90.00 90.00
Element x y z (fractional)
Zr: 0.000 0.000 0.000
In: 0.000 0.000 0.500
In: 0.500 0.500 0.000
In: 0.500 0.500 0.500
Pd: 0.000 0.500 0.248
Pd: 0.000 0.500 0.752
Pd: 0.500 0.000 0.248
Pd: 0.500 0.000 0.752

Computed properties:
Calculated formation energy in eV per atom: -0.570
Density in g/cm3: 9.8


## Zr2In3Pd4 (PBE)

Data for Zr2In3Pd4 after structural relaxation.

Lattice parameters (Å, degrees): 4.711 4.711 8.813 90.12 90.12 60.06
Element x y z (fractional)
Zr: 0.166 0.166 0.284
Zr: 0.834 0.834 0.716
In: 0.167 0.167 0.917
In: 0.500 0.500 0.500
In: 0.833 0.833 0.083
Pd: 0.167 0.167 0.598
Pd: 0.500 0.500 0.160
Pd: 0.500 0.500 0.840
Pd: 0.833 0.833 0.402

Computed properties:
Calculated formation energy in eV per atom: -0.552
Density in g/cm3: 9.3


## ZrIn2Pd2 (PBE)

Data for ZrIn2Pd2 after structural relaxation.

Lattice parameters (Å, degrees): 7.995 7.995 3.009 90.00 90.00 90.00
Element x y z (fractional)
Zr: 0.000 0.000 0.000
Zr: 0.500 0.500 0.000
In: 0.133 0.367 0.000
In: 0.367 0.867 0.000
In: 0.633 0.133 0.000
In: 0.867 0.633 0.000
Pd: 0.167 0.667 0.500
Pd: 0.333 0.167 0.500
Pd: 0.667 0.833 0.500
Pd: 0.833 0.333 0.500

Computed properties:
Calculated formation energy in eV per atom: -0.357
Density in g/cm3: 9.2
ΔE to the lowest computed polymorph in meV per atom: 174.5


## ZrIn2Pd4 (PBE)

Data for ZrIn2Pd4 after structural relaxation.

Lattice parameters (Å, degrees): 5.730 5.730 4.994 98.78 98.78 51.23
Element x y z (fractional)
Zr: 0.000 0.000 0.000
In: 0.307 0.307 0.182
In: 0.693 0.693 0.818
Pd: 0.140 0.140 0.568
Pd: 0.422 0.422 0.729
Pd: 0.578 0.578 0.271
Pd: 0.860 0.860 0.432

Computed properties:
Calculated formation energy in eV per atom: -0.540
Density in g/cm3: 9.8


## ZrIn2Pd (PBE)

Data for ZrIn2Pd after structural relaxation.

Lattice parameters (Å, degrees): 4.349 4.349 4.282 90.00 90.00 90.00
Element x y z (fractional)
Zr: 0.000 0.000 0.000
In: 0.000 0.500 0.500
In: 0.500 0.000 0.500
Pd: 0.500 0.500 0.000

Computed properties:
Calculated formation energy in eV per atom: -0.405
Density in g/cm3: 8.8


## ZrIn2Pd (PBE)

Data for ZrIn2Pd after structural relaxation.

Lattice parameters (Å, degrees): 4.857 4.857 4.857 60.00 60.00 60.00
Element x y z (fractional)
Zr: 0.000 0.000 0.000
In: 0.250 0.250 0.250
In: 0.750 0.750 0.750
Pd: 0.500 0.500 0.500

Computed properties:
Calculated formation energy in eV per atom: -0.261
Density in g/cm3: 8.8


## ZrIn4Pd15 (PBE)

Data for ZrIn4Pd15 after structural relaxation.

Lattice parameters (Å, degrees): 4.038 4.038 20.199 90.00 90.00 90.00
Element x y z (fractional)
Zr: 0.000 0.000 0.000
In: 0.000 0.000 0.201
In: 0.000 0.000 0.400
In: 0.000 0.000 0.600
In: 0.000 0.000 0.799
Pd: 0.000 0.500 0.098
Pd: 0.000 0.500 0.300
Pd: 0.000 0.500 0.500
Pd: 0.000 0.500 0.700
Pd: 0.000 0.500 0.902
Pd: 0.500 0.000 0.098
Pd: 0.500 0.000 0.300
Pd: 0.500 0.000 0.500
Pd: 0.500 0.000 0.700
Pd: 0.500 0.000 0.902
Pd: 0.500 0.500 0.000
Pd: 0.500 0.500 0.199
Pd: 0.500 0.500 0.400
Pd: 0.500 0.500 0.600
Pd: 0.500 0.500 0.801

Computed properties:
Calculated formation energy in eV per atom: -0.519
Density in g/cm3: 10.8


## Zr3InPd2 (PBE)

Data for Zr3InPd2 after structural relaxation.

Lattice parameters (Å, degrees): 3.189 3.189 11.776 90.00 90.00 90.00
Element x y z (fractional)
Zr: 0.000 0.000 0.000
Zr: 0.000 0.000 0.312
Zr: 0.000 0.000 0.688
In: 0.500 0.500 0.500
Pd: 0.500 0.500 0.151
Pd: 0.500 0.500 0.849

Computed properties:
Calculated formation energy in eV per atom: -0.490
Density in g/cm3: 8.3


## Zr11In9Pd4 (PBE)

Data for Zr11In9Pd4 after structural relaxation.

Lattice parameters (Å, degrees): 12.857 12.857 3.349 90.00 90.00 112.97
Element x y z (fractional)
Zr: 0.000 0.000 0.000
Zr: 0.054 0.409 0.000
Zr: 0.156 0.844 0.000
Zr: 0.309 0.309 0.000
Zr: 0.375 0.625 0.000
Zr: 0.409 0.054 0.000
Zr: 0.591 0.946 0.000
Zr: 0.625 0.375 0.000
Zr: 0.691 0.691 0.000
Zr: 0.844 0.156 0.000
Zr: 0.946 0.591 0.000
In: 0.071 0.217 0.500
In: 0.160 0.631 0.500
In: 0.217 0.071 0.500
In: 0.369 0.840 0.500
In: 0.500 0.500 0.500
In: 0.631 0.160 0.500
In: 0.783 0.929 0.500
In: 0.840 0.369 0.500
In: 0.929 0.783 0.500
Pd: 0.245 0.448 0.500
Pd: 0.448 0.245 0.500
Pd: 0.552 0.755 0.500
Pd: 0.755 0.552 0.500

Computed properties:
Calculated formation energy in eV per atom: -0.422
Density in g/cm3: 8.0


## Zr3InPd (PBE)

Data for Zr3InPd after structural relaxation.

Lattice parameters (Å, degrees): 5.068 5.068 5.068 90.00 90.00 90.00
Element x y z (fractional)
Zr: 0.000 0.000 0.500
Zr: 0.000 0.500 0.000
Zr: 0.500 0.000 0.000
In: 0.500 0.500 0.500
Pd: 0.000 0.000 0.000

Computed properties:
Calculated formation energy in eV per atom: 0.238
Density in g/cm3: 6.3
ΔE to the lowest computed polymorph in meV per atom: 0.0


## ZrInPd3 (PBE)

Data for ZrInPd3 after structural relaxation.

Lattice parameters (Å, degrees): 4.965 4.965 4.965 90.00 90.00 90.00
Element x y z (fractional)
Zr: 0.000 0.000 0.000
In: 0.500 0.500 0.500
Pd: 0.000 0.000 0.500
Pd: 0.000 0.500 0.000
Pd: 0.500 0.000 0.000

Computed properties:
Calculated formation energy in eV per atom: 0.488
Density in g/cm3: 7.1
ΔE to the lowest computed polymorph in meV per atom: 1005.2


## ZrInPd6 (PBE)

Data for ZrInPd6 after structural relaxation.

Lattice parameters (Å, degrees): 4.043 4.043 8.056 90.00 90.00 90.00
Element x y z (fractional)
Zr: 0.000 0.000 0.000
In: 0.000 0.000 0.500
Pd: 0.000 0.500 0.247
Pd: 0.000 0.500 0.753
Pd: 0.500 0.000 0.247
Pd: 0.500 0.000 0.753
Pd: 0.500 0.500 0.000
Pd: 0.500 0.500 0.500

Computed properties:
Calculated formation energy in eV per atom: -0.660
Density in g/cm3: 10.6


## Zr2InPd (PBE)

Data for Zr2InPd after structural relaxation.

Lattice parameters (Å, degrees): 3.158 3.158 8.186 90.00 90.00 90.00
Element x y z (fractional)
Zr: 0.000 0.000 0.228
Zr: 0.000 0.000 0.772
In: 0.500 0.500 0.500
Pd: 0.500 0.500 0.000

Computed properties:
Calculated formation energy in eV per atom: -0.452
Density in g/cm3: 8.2


## ZrIn2Pd9 (PBE)

Data for ZrIn2Pd9 after structural relaxation.

Lattice parameters (Å, degrees): 4.041 4.041 12.106 90.00 90.00 90.00
Element x y z (fractional)
Zr: 0.000 0.000 0.000
In: 0.000 0.000 0.336
In: 0.000 0.000 0.664
Pd: 0.000 0.500 0.164
Pd: 0.000 0.500 0.500
Pd: 0.000 0.500 0.836
Pd: 0.500 0.000 0.164
Pd: 0.500 0.000 0.500
Pd: 0.500 0.000 0.836
Pd: 0.500 0.500 0.000
Pd: 0.500 0.500 0.331
Pd: 0.500 0.500 0.669

Computed properties:
Calculated formation energy in eV per atom: -0.581
Density in g/cm3: 10.7


## ZrIn2Pd (PBE)

Data for ZrIn2Pd after structural relaxation.

Lattice parameters (Å, degrees): 6.223 6.223 6.223 103.07 103.07 123.21
Element x y z (fractional)
Zr: 0.000 0.000 0.000
Zr: 0.750 0.250 0.500
In: 0.157 0.625 0.032
In: 0.375 0.407 0.532
In: 0.593 0.125 0.968
In: 0.875 0.843 0.468
Pd: 0.250 0.750 0.500
Pd: 0.500 0.500 0.000

Computed properties:
Calculated formation energy in eV per atom: -0.163
Density in g/cm3: 8.0


## Pm3In2 (PBE)

Data for Pm3In2 after structural relaxation.

Lattice parameters (Å, degrees): 12.453 5.409 9.361 90.00 90.00 90.00
Element x y z (fractional)
Pm: 0.087 0.250 0.086
Pm: 0.091 0.750 0.582
Pm: 0.250 0.250 0.752
Pm: 0.250 0.750 0.252
Pm: 0.409 0.250 0.082
Pm: 0.413 0.750 0.586
Pm: 0.587 0.250 0.414
Pm: 0.591 0.750 0.918
Pm: 0.750 0.250 0.748
Pm: 0.750 0.750 0.248
Pm: 0.909 0.250 0.418
Pm: 0.913 0.750 0.914
In: 0.000 0.250 0.749
In: 0.000 0.750 0.251
In: 0.243 0.750 0.918
In: 0.257 0.250 0.418
In: 0.500 0.250 0.751
In: 0.500 0.750 0.249
In: 0.743 0.750 0.582
In: 0.757 0.250 0.082

Computed properties:
Calculated formation energy in eV per atom: -0.301
Density in g/cm3: 7.0


## PmIn (PBE)

Data for PmIn after structural relaxation.

Lattice parameters (Å, degrees): 6.489 6.489 4.857 90.00 90.00 144.54
Element x y z (fractional)
Pm: 0.153 0.847 0.750
Pm: 0.847 0.153 0.250
In: 0.423 0.577 0.750
In: 0.577 0.423 0.250

Computed properties:
Calculated formation energy in eV per atom: -0.441
Density in g/cm3: 7.3